The following is a GGA-PBE calculation of crystalline Cr2AgHg at its relaxed geometry, from Alexandria.

Computed properties:
Density of states at the Fermi level: 3.2 states/eV/cell
Space-group type: P4/mmm
DFT total energy: -4.768 eV per atom

Cell: 2.7101 2.7101 8.4537 Å, 90.00 90.00 89.98°
Closest atoms and distances in Å follow each position.
Element x y z (fractional)
Hg (0.5000, 0.5000, 0.2500)  4 Hg 2.71, 8 Cr 2.89
Ag (0.5000, 0.5000, 0.7500)  4 Ag 2.71, 8 Cr 2.82
Cr (0.0000, 0.0000, 0.9942)  4 Cr 2.71, 4 Ag 2.82, 4 Hg 2.89
Cr (0.0000, 0.0000, 0.5058)  4 Cr 2.71, 4 Ag 2.82, 4 Hg 2.89